Crystalline PaMnPtO6 at its relaxed geometry, computed with PBE with a Hubbard U.

The structure belongs to space group P-31c (No. 163); the cell edges are 5.3636, 5.3636 and 9.1719 Å and the angles 90.00°, 90.00° and 120.00°. The asymmetric unit holds Pa at (0.3333, 0.6667, 0.2500), Mn at (0.0000, 0.0000, 0.0000), Pt at (0.3333, 0.6667, 0.7500) and O at (0.0200, 0.3456, 0.6266).

The electronic total energy comes out at -7.74 eV per atom. The magnetization is 7.99 Bohr magnetons per cell.